# Ba2AlMoO6

Ba2AlMoO6 after structural relaxation (PBE+U, Alexandria via LeMat-Bulk).

The calculation puts the total energy at -0.2549 hartree per atom.

The structure belongs to space group R-3m (No. 166, hexagonal axes); the cell edges are 5.8298, 5.8298 and 28.4191 Å and the angles 90.00°, 90.00° and 120.00°. The inequivalent atoms are Ba at (0.0000, 0.0000, 0.1247), Ba at (0.0000, 0.0000, 0.2862), Al at (0.0000, 0.0000, 0.4038), Mo at (0.0000, 0.0000, 0.0000), Mo at (0.0000, 0.0000, 0.5000), O at (0.0085, 0.5043, 0.2916) and O at (0.0320, 0.5160, 0.1240).